VASP calculation (PBE) on crystalline Nd3SbBr7 at its relaxed geometry.

The structure in POSCAR format:
```
Nd3SbBr7
1.0
8.932 0.000 0.000
-4.466 7.736 0.000
0.000 0.000 6.766
Nd Sb Br
3 1 7
Direct
0.003 0.502 0.000
0.498 0.502 0.000
0.498 0.997 0.000
0.333 0.667 0.737
0.182 0.365 0.239
0.182 0.818 0.239
0.354 0.177 0.783
0.635 0.818 0.239
0.667 0.333 0.247
0.823 0.177 0.783
0.823 0.646 0.783
```

Properties
theoretical density	3.96	g cm⁻³
symmetry	No. 156
E_form (uncorrected)	-1558	meV/atom

***

VASP calculation (PBE) on crystalline Al4MoIr5 at its relaxed geometry.

The structure in POSCAR format:
```
Al4MoIr5
1.0
2.916 0.000 0.000
0.000 2.916 0.000
0.000 0.000 16.494
Al Mo Ir
4 1 5
Direct
0.000 0.000 0.097
0.000 0.000 0.290
0.000 0.000 0.710
0.000 0.000 0.903
0.000 0.000 0.500
0.500 0.500 0.000
0.500 0.500 0.194
0.500 0.500 0.386
0.500 0.500 0.614
0.500 0.500 0.806
```

Properties
theoretical density	13.80	g cm⁻³
symmetry	No. 123
E_form	-762.9	kJ/mol of formula units

***

VASP calculation (PBE) on crystalline SnGe2Sb2 at its relaxed geometry.

The structure in POSCAR format:
```
SnGe2Sb2
1.0
8.288 0.000 0.000
0.000 8.288 0.000
0.000 0.000 3.721
Sn Ge Sb
2 4 4
Direct
0.000 0.000 0.000
0.500 0.500 0.000
0.134 0.366 0.500
0.366 0.866 0.500
0.634 0.134 0.500
0.866 0.634 0.500
0.155 0.655 0.000
0.345 0.155 0.000
0.655 0.845 0.000
0.845 0.345 0.000
```

Properties
theoretical density	6.60	g cm⁻³
symmetry	No. 127
E_form (uncorrected)	253	meV/atom

***

VASP calculation (PBE) on crystalline LuTlCdIn at its relaxed geometry.

The structure in POSCAR format:
```
LuTlCdIn
1.0
0.000 3.702 3.702
3.702 0.000 3.702
3.702 3.702 0.000
Lu Tl Cd In
1 1 1 1
Direct
0.000 0.000 0.000
0.750 0.750 0.750
0.500 0.500 0.500
0.250 0.250 0.250
```

Properties
theoretical density	9.93	g cm⁻³
symmetry	No. 216
E_form	-34.0	kJ/mol of formula units

***

| no. | magnetic moment (μB per atom) |
| --- | --- |
| 1 | 0.095 |
| 2 | 0.000 |
| 3 | 0.000 |
| 4 | 0.000 |